Record 1
## TlCuTe2PdSe (PBE)

Data for crystalline TlCuTe2PdSe at its relaxed geometry.

total energy: -22.09 eV per formula unit
space-group type: Cmcm, No. 63

a b c (Å): 7.7779 7.7779 10.2903
angles (deg): 90.00 90.00 150.91
Last column: nearest neighbours and their distance in Å.
Fractional coordinates of all 12 atoms:
Se  0.9373  0.0627  0.7500  2 Cu 2.41
Se  0.0627  0.9373  0.2500  2 Cu 2.41
Te  0.3759  0.6241  0.0376  1 Cu 2.60, 2 Pd 2.73
Cu  0.5310  0.4690  0.7500  2 Se 2.41, 2 Te 2.60
Cu  0.4690  0.5310  0.2500  2 Se 2.41, 2 Te 2.60
Pd  0.0000  0.0000  0.0000  4 Te 2.73, 2 Se 2.74
Tl  0.7443  0.2557  0.2500  2 Se 3.36, 6 Te 3.47-3.54
Te  0.6241  0.3759  0.5376  1 Cu 2.60, 2 Pd 2.73
Tl  0.2557  0.7443  0.7500  2 Se 3.36, 6 Te 3.47-3.54
Te  0.3759  0.6241  0.4624  1 Cu 2.60, 2 Pd 2.73
Te  0.6241  0.3759  0.9624  1 Cu 2.60, 2 Pd 2.73
Pd  0.0000  0.0000  0.5000  4 Te 2.73, 2 Se 2.74


Record 2
## Gd3Sb2N (PBE)

Data for crystalline Gd3Sb2N at its relaxed geometry.

total energy: -36.83 eV per formula unit
space-group type: P-3m1, No. 164

a b c (Å): 3.9644 3.9644 10.7377
angles (deg): 90.00 90.00 120.00
Last column: nearest neighbours and their distance in Å.
Fractional coordinates of all 6 atoms:
Gd  0.0000  0.0000  0.5000  6 Sb 3.04
Gd  0.6667  0.3333  0.1206  3 N 2.63
Sb  0.3333  0.6667  0.3136  6 Gd 3.04-3.09
Sb  0.6667  0.3333  0.6864  6 Gd 3.04-3.09
Gd  0.3333  0.6667  0.8794  3 N 2.63
N  0.0000  0.0000  0.0000  6 Gd 2.63


Record 3
## Lu4TlCuN2 (PBE)

Data for crystalline Lu4TlCuN2 at its relaxed geometry.

total energy: -48.59 eV per formula unit
space-group type: P-6m2, No. 187

a b c (Å): 3.4169 3.4169 14.5633
angles (deg): 90.00 90.00 120.00
Last column: nearest neighbours and their distance in Å.
Fractional coordinates of all 8 atoms:
Lu  0.3333  0.6667  0.8607  3 N 2.46
Lu  0.3333  0.6667  0.1393  3 N 2.46
Tl  0.3333  0.6667  0.5000  6 Lu 3.26, 6 Tl 3.42
N  0.6667  0.3333  0.2407  6 Lu 2.30-2.46
Lu  0.0000  0.0000  0.3219  3 N 2.30
Lu  0.0000  0.0000  0.6781  3 N 2.30
Cu  0.0000  0.0000  0.0000  6 Lu 2.83
N  0.6667  0.3333  0.7593  6 Lu 2.30-2.46


Record 4
## Ge2PtO3 (PBE)

Data for crystalline Ge2PtO3 at its relaxed geometry.

total energy: -36.15 eV per formula unit
space-group type: Pm, No. 6

a b c (Å): 5.1694 2.8040 5.4172
angles (deg): 90.00 93.72 90.00
Last column: nearest neighbours and their distance in Å.
Fractional coordinates of all 6 atoms:
Ge  0.0899  0.5000  0.9165  3 O 1.89-1.90
O  0.6584  0.5000  0.3941  2 Ge 1.83
Ge  0.5105  0.0000  0.5514  4 O 1.83-2.00
Pt  0.7036  0.0000  0.9630  1 O 2.23, 3 Ge 2.38-2.47
O  0.2922  0.0000  0.0658  2 Ge 1.90
O  0.2454  0.5000  0.6092  3 Ge 1.89-2.00